(1)
## Sr2LuNbO6 (GGA-PBEsol)

Data for crystalline Sr2LuNbO6 at its relaxed geometry.

Properties
The value obtained for the density of states at the Fermi level is 0.00 states/eV/atom. For the total magnetic moment, the calculation gives 0.0 μB/f.u. For the calculated density, the calculation gives 6.40 Mg/m³. The value obtained for the uncorrected energy is -8.185 eV per atom. As for the energy relative to the elements, uncorrected: -3.098 eV/atom. The symmetry is Fm-3m.

Unit cell a=5.827 b=5.827 c=5.827 alpha=60.00 beta=60.00 gamma=60.00
Positions (direct):
1 Sr 0.250 0.250 0.250
2 Sr 0.750 0.750 0.750
3 Lu 0.000 0.000 0.000
4 Nb 0.500 0.500 0.500
5 O 0.258 0.258 0.742
6 O 0.258 0.742 0.258
7 O 0.258 0.742 0.742
8 O 0.742 0.258 0.258
9 O 0.742 0.258 0.742
10 O 0.742 0.742 0.258

---

(2)
## NaDyCl4 (GGA-PBEsol)

Data for crystalline NaDyCl4 at its relaxed geometry.

Properties
The value obtained for the density of states at the Fermi level is 0.00 states/eV/atom. For the total magnetic moment, the calculation gives 0.0 μB/f.u. For the calculated density, the calculation gives 3.69 Mg/m³. The value obtained for the uncorrected energy is -4.523 eV per atom. As for the energy relative to the elements, uncorrected: -2.122 eV/atom. The symmetry is P-1.

Unit cell a=6.519 b=6.653 c=6.937 alpha=88.90 beta=87.95 gamma=78.54
Positions (direct):
1 Na 0.228 0.193 0.041
2 Na 0.772 0.807 0.959
3 Dy 0.209 0.700 0.445
4 Dy 0.791 0.300 0.555
5 Cl 0.050 0.498 0.743
6 Cl 0.094 0.997 0.708
7 Cl 0.391 0.787 0.130
8 Cl 0.432 0.312 0.384
9 Cl 0.568 0.688 0.616
10 Cl 0.609 0.213 0.870
11 Cl 0.906 0.003 0.292
12 Cl 0.950 0.502 0.257